The following is a DFT calculation (PBE with a Hubbard U) of CrO2F2 after structural relaxation.

Output
**Size of the total moment**: 2.00 μB per formula unit
**SG**: P4/mmm, No. 123
**DOS(E_F)**: 0.382 states/eV per atom
**DFT total energy**: -5.055 eV/atom

Structure (POSCAR):
```
CrO2F2
1.0
3.8959 0.0000 0.0000
0.0000 3.8959 0.0000
0.0000 0.0000 3.7064
Cr O F
1 2 2
Direct
0.0000 0.0000 0.0000
0.0000 0.0000 0.5000
0.5000 0.5000 0.5000
0.5000 0.0000 0.0000
0.0000 0.5000 0.0000
```